Computed, not measured: an optimized crystal structure of BaPtAu at the GGA-PBEsol level of DFT.

Computed properties:
- space-group type = P-6m2, No. 187
- E_form (eV/atom) = -0.555

a = 4.3597 Å, b = 4.5792 Å, c = 4.5792 Å
α = 120.00°, β = 90.00°, γ = 90.00°
Positions (direct):
Pt (0.5000, 0.6667, 0.3333)
Au (0.5000, 0.0000, 0.0000)
Ba (0.0000, 0.3333, 0.6667)



Computed, not measured: an optimized crystal structure of Ge3SI at the GGA-PBEsol level of DFT.

Computed properties:
- space-group type = Pm-3m, No. 221
- energy relative to the elements, uncorrected (eV/f.u.) = 2.62

a = 4.9962 Å, b = 4.9962 Å, c = 4.9962 Å
α = 90.00°, β = 90.00°, γ = 90.00°
Positions (direct):
S (0.0000, 0.0000, 0.0000)
Ge (0.0000, 0.0000, 0.5000)
Ge (0.0000, 0.5000, 0.0000)
I (0.5000, 0.5000, 0.5000)
Ge (0.5000, 0.0000, 0.0000)



Computed, not measured: an optimized crystal structure of Ag2BiSbSe4 at the GGA-PBEsol level of DFT.

Computed properties:
- space-group type = I-4m2, No. 119
- energy relative to the elements, uncorrected (eV/f.u.) = -1.51

a = 5.7046 Å, b = 5.7046 Å, c = 7.0173 Å
α = 113.98°, β = 113.98°, γ = 90.00°
Positions (direct):
Sb (0.0000, 0.0000, 0.0000)
Se (0.5058, 0.0058, 0.0116)
Se (0.2495, 0.2495, 0.4989)
Bi (0.2500, 0.7500, 0.5000)
Ag (0.7500, 0.2500, 0.5000)
Ag (0.5000, 0.5000, 0.0000)
Se (0.7505, 0.7505, 0.5011)
Se (0.9942, 0.4942, 0.9884)



Computed, not measured: an optimized crystal structure of KBeBr at the GGA-PBEsol level of DFT.

Computed properties:
- space-group type = F-43m, No. 216
- energy relative to the elements, uncorrected (eV/f.u.) = 0.48

a = 5.3715 Å, b = 5.3715 Å, c = 5.3715 Å
α = 60.00°, β = 60.00°, γ = 60.00°
Positions (direct):
Br (0.2500, 0.2500, 0.2500)
K (0.0000, 0.0000, 0.0000)
Be (0.5000, 0.5000, 0.5000)



Computed, not measured: an optimized crystal structure of ZrZnFe at the GGA-PBEsol level of DFT.

Computed properties:
- space-group type = I4mm, No. 107
- E_form (eV/atom) = -0.086

a = 3.2334 Å, b = 3.2334 Å, c = 4.8762 Å
α = 109.36°, β = 109.36°, γ = 90.00°
Each line ends with the local moment (μB).
Positions (direct):
Zr (0.6559, 0.6559, 0.3118)  -0.21
Zn (0.3462, 0.3462, 0.6924)  -0.04
Fe (0.9979, 0.9979, 0.9957)  0.98



Computed, not measured: an optimized crystal structure of CsBa3Zr at the GGA-PBEsol level of DFT.

Computed properties:
- space-group type = Pm-3m, No. 221
- E_form (eV/atom) = 0.596

a = 6.5025 Å, b = 6.5025 Å, c = 6.5025 Å
α = 90.00°, β = 90.00°, γ = 90.00°
Each line ends with the local moment (μB).
Positions (direct):
Ba (0.5000, 0.0000, 0.0000)  0.03
Zr (0.0000, 0.0000, 0.0000)  0.46
Ba (0.0000, 0.0000, 0.5000)  0.03
Cs (0.5000, 0.5000, 0.5000)  -0.01
Ba (0.0000, 0.5000, 0.0000)  0.03



Computed, not measured: an optimized crystal structure of ReNi2Pt at the GGA-PBEsol level of DFT.

Computed properties:
- space-group type = C2/m, No. 12
- E_form (eV/atom) = -0.055

a = 2.6418 Å, b = 4.4206 Å, c = 4.6443 Å
α = 99.28°, β = 90.00°, γ = 107.39°
Positions (direct):
Pt (0.0000, 0.0000, 0.5000)
Ni (0.2479, 0.4957, 0.2290)
Ni (0.7521, 0.5043, 0.7710)
Re (0.5000, 0.0000, 0.0000)



Computed, not measured: an optimized crystal structure of Sc2TlCu at the GGA-PBEsol level of DFT.

Computed properties:
- space-group type = P4mm, No. 99
- E_form (eV/atom) = -0.094

a = 3.5034 Å, b = 3.5034 Å, c = 6.4745 Å
α = 90.00°, β = 90.00°, γ = 90.00°
Each line ends with the local moment (μB).
Positions (direct):
Sc (0.0000, 0.0000, 0.9686)  0.26
Cu (0.5000, 0.5000, 0.7616)  0.00
Sc (0.5000, 0.5000, 0.2540)  0.27
Tl (0.0000, 0.0000, 0.5158)  0.00



Number 1: volume 79.2 Å³/cell, electronic total energy -14.70 eV for the cell shown. Number 2: volume 124.7 Å³/cell, electronic total energy -18.35 eV for the cell shown. Number 3: volume 186.9 Å³/cell, electronic total energy -32.37 eV for the cell shown. Number 4: volume 109.6 Å³/cell, electronic total energy -6.52 eV for the cell shown. Number 5: volume 45.0 Å³/cell, electronic total energy -19.89 eV for the cell shown. Number 6: volume 274.9 Å³/cell, electronic total energy -13.50 eV for the cell shown. Number 7: volume 51.0 Å³/cell, electronic total energy -32.83 eV for the cell shown. Number 8: volume 79.5 Å³/cell, electronic total energy -20.55 eV for the cell shown.